1.
Entry from Alexandria: a crystal of Co2Pt relaxed with PBEsol (meta-GGA SCAN).

Cell lengths 5.1482, 3.6672, 7.6891 Å; angles 90.00, 90.00, 90.00 degrees
Positions (direct):
Co (0.1151, 0.2500, 0.2441)
Co (0.1200, 0.2500, 0.9192)
Co (0.3800, 0.7500, 0.4192)
Co (0.3849, 0.7500, 0.7441)
Co (0.6151, 0.2500, 0.2559)
Co (0.6200, 0.2500, 0.5808)
Co (0.8800, 0.7500, 0.0808)
Co (0.8849, 0.7500, 0.7559)
Pt (0.1344, 0.2500, 0.5895)
Pt (0.3656, 0.7500, 0.0895)
Pt (0.6344, 0.2500, 0.9105)
Pt (0.8656, 0.7500, 0.4105)

Results
* spin magnetization: 16.99 μB/cell
* SG: Pnma, No. 62
* ΔE_f: -113 meV per atom
* crystal system: orthorhombic
* calculated density: 14.32 Mg/m³
* Fermi-level density of states: 2.3 states/eV/f.u.

2.
Entry from Alexandria: a crystal of YTiPd2 relaxed with PBEsol (meta-GGA SCAN).

Cell lengths 4.6650, 4.6650, 4.6650 Å; angles 60.00, 60.00, 60.00 degrees
Positions (direct):
Y (0.0000, 0.0000, 0.0000)
Ti (0.5000, 0.5000, 0.5000)
Pd (0.2500, 0.2500, 0.2500)
Pd (0.7500, 0.7500, 0.7500)

Results
* spin magnetization: 0.00 μB/cell
* SG: Fm-3m, No. 225
* ΔE_f: -633 meV per atom
* crystal system: cubic
* calculated density: 8.09 Mg/m³
* Fermi-level density of states: 4.0 states/eV/f.u.